# ZrTaAu2 GGA-PBE optimized geometry
# Total DFT energy (no corrections), eV for the cell shown: -27.87
# DOS at the Fermi energy, states/eV per cell: 3.67
# Total magnetic moment, μB/atom: 0.04
data_ZrTaAu2
_chemical_formula_sum 'Zr1 Ta1 Au2'
_symmetry_space_group_name_H-M 'P 1'
_symmetry_Int_Tables_number 1
_cell_length_a 2.976
_cell_length_b 2.976
_cell_length_c 8.418
_cell_angle_alpha 90.00
_cell_angle_beta 90.00
_cell_angle_gamma 90.00
loop_
_symmetry_equiv_pos_as_xyz
'x,y,z'
loop_
_atom_site_label
_atom_site_type_symbol
_atom_site_fract_x
_atom_site_fract_y
_atom_site_fract_z
Zr1 Zr 0.000 0.000 0.000
Ta1 Ta 0.000 0.000 0.500
Au1 Au 0.500 0.500 0.260
Au2 Au 0.500 0.500 0.740